A plane-wave DFT calculation with PBE was carried out for a relaxed TaP2Rh crystal.

abc: 3.508 3.128 5.495
angles: 89.99 90.00 90.00
Sites, in units of the cell vectors:
P 0.000 0.250 0.971
P 0.000 0.250 0.529
Rh 0.500 0.250 0.250
Ta 0.500 0.750 0.750

Its energy above the most stable polymorph in this dataset is 94.9 meV/atom. The formation energy comes out at -453 meV/atom. The symmetry is Pmmm, No. 47.



A plane-wave DFT calculation with PBE was carried out for a relaxed PaTi4S8 crystal.

abc: 6.907 6.907 7.424
angles: 62.28 62.28 60.00
Sites, in units of the cell vectors:
Pa 0.500 0.500 0.500
Ti 0.000 0.500 0.000
Ti 0.500 0.500 0.000
Ti 0.500 0.000 0.000
Ti 0.000 0.000 0.000
S 0.755 0.240 0.766
S 0.760 0.245 0.234
S 0.245 0.760 0.234
S 0.760 0.760 0.234
S 0.741 0.741 0.778
S 0.259 0.259 0.222
S 0.240 0.240 0.766
S 0.240 0.755 0.766

The symmetry is R-3m, No. 166. As for the raw formation energy: -1.4928 eV/atom.



A plane-wave DFT calculation with PBE was carried out for a relaxed K2TlTe crystal.

abc: 4.373 4.373 9.534
angles: 90.00 90.00 90.90
Sites, in units of the cell vectors:
K 0.000 0.000 0.926
K 0.500 0.500 0.333
Te 0.000 0.000 0.546
Tl 0.500 0.500 0.695

Its energy above the most stable polymorph in this dataset is 159.7 meV/atom. The symmetry is Cmm2, No. 35. As for the raw formation energy: -0.4215 eV/atom.



A plane-wave DFT calculation with PBE was carried out for a relaxed TiSn crystal.

abc: 4.791 4.791 5.460
angles: 90.00 90.00 120.00
Sites, in units of the cell vectors:
Ti 0.333 0.667 0.250
Ti 0.667 0.333 0.750
Sn 0.333 0.667 0.750
Sn 0.667 0.333 0.250

The formation energy comes out at 236 meV/atom. The symmetry is P6_3/mmc, No. 194.



A plane-wave DFT calculation with PBE was carried out for a relaxed NaSmAgSb crystal.

abc: 5.253 5.253 5.253
angles: 60.00 60.00 60.00
Sites, in units of the cell vectors:
Sb 0.750 0.750 0.750
Ag 0.250 0.250 0.250
Sm 0.000 0.000 0.000
Na 0.500 0.500 0.500

The symmetry is F-43m, No. 216. As for the raw formation energy: -0.4666 eV/atom.



A plane-wave DFT calculation with PBE was carried out for a relaxed LiCeTmO4 crystal.

abc: 6.599 6.786 6.786
angles: 62.99 60.91 60.91
Sites, in units of the cell vectors:
Li 0.606 0.644 0.144
Li 0.394 0.356 0.856
Ce 0.000 0.000 0.000
Ce 0.000 0.500 0.500
Tm 0.500 0.000 0.500
Tm 0.000 0.000 0.500
O 0.769 0.769 0.693
O 0.231 0.807 0.731
O 0.769 0.193 0.269
O 0.231 0.231 0.307
O 0.212 0.763 0.263
O 0.762 0.763 0.263
O 0.238 0.237 0.737
O 0.788 0.237 0.737

The symmetry is Imma, No. 74. As for the raw formation energy: -3.0463 eV/atom.



A plane-wave DFT calculation with PBE was carried out for a relaxed Zr2OsCl crystal.

abc: 4.920 4.920 4.920
angles: 132.70 113.44 85.64
Sites, in units of the cell vectors:
Cl 0.750 0.250 0.500
Os 0.250 0.750 0.500
Zr 0.999 0.999 0.000
Zr 0.501 0.501 0.000

Its energy above the most stable polymorph in this dataset is 499.6 meV/atom. The symmetry is Immm, No. 71. As for the raw formation energy: -0.1812 eV/atom.



A plane-wave DFT calculation with PBE was carried out for a relaxed ScFe2P crystal.

abc: 5.025 5.025 5.025
angles: 45.06 45.06 45.06
Sites, in units of the cell vectors:
Sc 0.248 0.248 0.248
Fe 0.045 0.045 0.045
Fe 0.751 0.751 0.751
P 0.456 0.456 0.456

The formation energy comes out at -508 meV/atom. The symmetry is R3m, No. 160.



A plane-wave DFT calculation with PBE was carried out for a relaxed Cs2Mn3I8 crystal.

abc: 7.265 10.512 10.512
angles: 61.78 69.88 69.88
Sites, in units of the cell vectors:
Cs 0.420 0.732 0.732
Cs 0.580 0.268 0.268
Mn 0.500 0.000 0.000
Mn 0.000 0.672 0.328
Mn 0.000 0.328 0.672
I 0.950 0.395 0.395
I 0.050 0.605 0.605
I 0.832 0.863 0.863
I 0.168 0.137 0.137
I 0.654 0.294 0.870
I 0.654 0.870 0.294
I 0.346 0.130 0.706
I 0.346 0.706 0.130

The symmetry is C2/m, No. 12. As for the raw formation energy: -0.7554 eV/atom.



A plane-wave DFT calculation with PBE was carried out for a relaxed BeOs2Pt crystal.

abc: 4.711 4.711 2.735
angles: 90.00 90.00 114.41
Sites, in units of the cell vectors:
Be 0.000 0.500 0.500
Os 0.000 0.000 0.000
Os 0.500 0.500 0.000
Pt 0.500 0.000 0.500

The formation energy comes out at 290 meV/atom. The symmetry is Cmmm, No. 65.



A plane-wave DFT calculation with PBE was carried out for a relaxed TbPrNiAu crystal.

abc: 3.899 4.638 5.622
angles: 90.00 110.29 90.00
Sites, in units of the cell vectors:
Tb 0.863 0.500 0.725
Pr 0.143 0.000 0.287
Ni 0.419 0.000 0.838
Au 0.575 0.500 0.150

Its energy above the most stable polymorph in this dataset is 0.0 meV/atom. The formation energy comes out at -559 meV/atom. The symmetry is Amm2, No. 38.



A plane-wave DFT calculation with PBE was carried out for a relaxed Pm3TmCd4 crystal.

abc: 3.773 3.773 15.410
angles: 90.00 90.00 90.00
Sites, in units of the cell vectors:
Cd 0.000 0.000 0.886
Cd 0.000 0.000 0.114
Cd 0.000 0.000 0.373
Cd 0.000 0.000 0.627
Tm 0.500 0.500 0.000
Pm 0.500 0.500 0.245
Pm 0.500 0.500 0.500
Pm 0.500 0.500 0.755

The formation energy comes out at -313 meV/atom. The symmetry is P4/mmm, No. 123.



A plane-wave DFT calculation with PBE was carried out for a relaxed SrCdRe2O8 crystal.

abc: 5.102 5.102 7.380
angles: 93.41 93.41 80.17
Sites, in units of the cell vectors:
Sr 0.000 0.000 0.500
Cd 0.000 0.000 0.000
Re 0.560 0.560 0.206
Re 0.440 0.440 0.794
O 0.774 0.241 0.776
O 0.678 0.678 0.000
O 0.684 0.684 0.419
O 0.316 0.316 0.581
O 0.322 0.322 0.000
O 0.241 0.774 0.776
O 0.759 0.226 0.224
O 0.226 0.759 0.224

The symmetry is C2/m, No. 12. As for the raw formation energy: -1.6951 eV/atom.



A plane-wave DFT calculation with PBE was carried out for a relaxed NaPrTiNbO6F crystal.

abc: 7.395 7.395 10.499
angles: 90.00 90.00 90.00
Sites, in units of the cell vectors:
Na 0.500 0.284 0.000
Na 0.500 0.716 0.500
Na 0.716 0.500 0.250
Na 0.284 0.500 0.750
Pr 0.000 0.726 0.500
Pr 0.274 0.000 0.750
Pr 0.000 0.274 0.000
Pr 0.726 0.000 0.250
Ti 0.765 0.000 0.750
Ti 0.000 0.235 0.500
Ti 0.235 0.000 0.250
Ti 0.000 0.765 0.000
Nb 0.242 0.500 0.250
Nb 0.500 0.242 0.500
Nb 0.500 0.758 0.000
Nb 0.758 0.500 0.750
O 0.558 0.946 0.868
O 0.751 0.772 0.071
O 0.958 0.958 0.875
O 0.054 0.442 0.382
O 0.042 0.958 0.125
O 0.042 0.042 0.375
O 0.249 0.228 0.571
O 0.228 0.751 0.321
O 0.228 0.249 0.179
O 0.249 0.772 0.929
O 0.442 0.054 0.368
O 0.438 0.438 0.375
O 0.442 0.946 0.132
O 0.562 0.438 0.625
O 0.558 0.054 0.632
O 0.562 0.562 0.875
O 0.772 0.751 0.679
O 0.751 0.228 0.429
O 0.772 0.249 0.821
O 0.946 0.558 0.882
O 0.958 0.042 0.625
O 0.946 0.442 0.618
O 0.054 0.558 0.118
O 0.438 0.562 0.125
F 0.739 0.261 0.125
F 0.261 0.739 0.625
F 0.739 0.739 0.375
F 0.261 0.261 0.875

Its energy above the most stable polymorph in this dataset is 0.0 meV/atom. The symmetry is P4_122, No. 91. As for the raw formation energy: -2.9501 eV/atom.



A plane-wave DFT calculation with PBE was carried out for a relaxed La2Si3Rh5 crystal.

abc: 4.021 6.720 13.135
angles: 90.00 98.81 90.00
Sites, in units of the cell vectors:
La 0.488 0.760 0.975
La 0.177 0.739 0.353
La 0.823 0.239 0.647
La 0.512 0.260 0.025
Si 0.773 0.722 0.545
Si 0.615 0.454 0.230
Si 0.064 0.969 0.127
Si 0.227 0.222 0.455
Si 0.936 0.469 0.873
Si 0.385 0.954 0.770
Rh 0.393 0.431 0.787
Rh 0.285 0.517 0.571
Rh 0.715 0.017 0.429
Rh 0.134 0.239 0.268
Rh 0.292 0.928 0.583
Rh 0.928 0.105 0.855
Rh 0.708 0.428 0.417
Rh 0.866 0.739 0.732
Rh 0.072 0.605 0.145
Rh 0.607 0.931 0.213

The symmetry is Cmc2_1, No. 36. As for the raw formation energy: -0.8281 eV/atom.



A plane-wave DFT calculation with PBE was carried out for a relaxed YEr6In2 crystal.

abc: 3.711 6.572 11.685
angles: 75.09 80.86 73.60
Sites, in units of the cell vectors:
Y 0.000 0.000 0.000
Er 0.684 0.508 0.124
Er 0.316 0.492 0.876
Er 0.311 0.794 0.583
Er 0.986 0.686 0.343
Er 0.014 0.314 0.657
Er 0.689 0.206 0.417
In 0.355 0.080 0.209
In 0.645 0.920 0.791

The formation energy comes out at -210 meV/atom. The symmetry is C2/m, No. 12.



A plane-wave DFT calculation with PBE was carried out for a relaxed MgHg4Pd7 crystal.

abc: 4.931 9.143 5.744
angles: 82.91 64.58 74.36
Sites, in units of the cell vectors:
Mg 0.000 0.000 0.000
Hg 0.589 0.228 0.594
Hg 0.411 0.772 0.406
Hg 0.733 0.688 0.846
Hg 0.267 0.312 0.154
Pd 0.798 0.922 0.482
Pd 0.202 0.078 0.518
Pd 0.037 0.623 0.303
Pd 0.963 0.377 0.697
Pd 0.345 0.536 0.773
Pd 0.500 0.000 0.000
Pd 0.655 0.464 0.227

The formation energy comes out at -93 meV/atom. The symmetry is C2/m, No. 12.



A plane-wave DFT calculation with PBE was carried out for a relaxed Sr2Bi5Pt3 crystal.

abc: 4.745 7.970 14.358
angles: 90.00 99.51 90.00
Sites, in units of the cell vectors:
Sr 0.476 0.758 0.953
Sr 0.171 0.725 0.342
Sr 0.829 0.225 0.658
Sr 0.524 0.258 0.047
Bi 0.404 0.389 0.808
Bi 0.289 0.513 0.577
Bi 0.711 0.013 0.423
Bi 0.122 0.255 0.243
Bi 0.296 0.929 0.592
Bi 0.952 0.088 0.905
Bi 0.704 0.429 0.408
Bi 0.878 0.755 0.757
Bi 0.048 0.588 0.095
Bi 0.596 0.889 0.192
Pt 0.770 0.718 0.540
Pt 0.606 0.521 0.213
Pt 0.049 0.969 0.098
Pt 0.230 0.218 0.460
Pt 0.951 0.469 0.902
Pt 0.394 0.021 0.787

The formation energy comes out at -535 meV/atom. The symmetry is Cmc2_1, No. 36.



A plane-wave DFT calculation with PBE was carried out for a relaxed SrPu2WN4 crystal.

abc: 3.445 6.359 12.182
angles: 90.00 90.00 105.72
Sites, in units of the cell vectors:
Sr 0.091 0.182 0.750
Sr 0.909 0.818 0.250
Pu 0.371 0.742 0.537
Pu 0.629 0.258 0.037
Pu 0.629 0.258 0.463
Pu 0.371 0.742 0.963
W 0.827 0.654 0.750
W 0.173 0.346 0.250
N 0.262 0.524 0.121
N 0.738 0.476 0.621
N 0.738 0.476 0.879
N 0.262 0.524 0.379
N 0.000 0.000 0.500
N 0.000 0.000 0.000
N 0.415 0.829 0.750
N 0.585 0.171 0.250

The symmetry is Cmcm, No. 63. As for the raw formation energy: -0.8709 eV/atom.



A plane-wave DFT calculation with PBE was carried out for a relaxed Mg2Si crystal.

abc: 5.999 6.013 7.662
angles: 66.43 90.00 90.00
Sites, in units of the cell vectors:
Mg 0.830 0.177 0.146
Mg 0.294 0.417 0.567
Mg 0.794 0.583 0.433
Mg 0.327 0.251 0.996
Mg 0.330 0.823 0.854
Mg 0.398 0.014 0.417
Mg 0.898 0.986 0.583
Mg 0.827 0.749 0.004
Si 0.177 0.789 0.219
Si 0.974 0.502 0.794
Si 0.474 0.498 0.206
Si 0.677 0.211 0.781

The symmetry is P2_1, No. 4. As for the raw formation energy: 0.0272 eV/atom.



A plane-wave DFT calculation with PBE was carried out for a relaxed ZrI crystal.

abc: 3.670 3.670 10.791
angles: 83.79 83.91 60.02
Sites, in units of the cell vectors:
I 0.457 0.524 0.267
I 0.914 0.989 0.659
Zr 0.541 0.614 0.852
Zr 0.163 0.233 0.071

The symmetry is P1, No. 1. As for the raw formation energy: -0.5556 eV/atom.



DFT total energy / eV/atom: -7.959; -7.192; -2.347; -5.713; -3.720; -7.639; -7.724; -7.675; -3.957; -7.766; -5.176; -3.111; -7.292; -8.012; -7.116; -4.579; -3.356; -4.624; -10.446; -2.844; -5.605
Density / Mg/m³: 9.52; 4.36; 3.74; 5.10; 6.53; 5.67; 8.81; 5.38; 3.70; 17.56; 9.67; 7.97; 6.16; 4.85; 8.30; 8.35; 11.59; 11.20; 10.54; 2.01; 5.80